[1]
Density functional theory data (PBE) for CeTmHgGe after structural relaxation.

abc: 5.1859 5.1859 5.1859
angles: 60.00 60.00 60.00
Closest atoms and distances in Å follow each position.
Fractional positions:
Ge (0.2500, 0.2500, 0.2500)  4 Tm 3.18, 4 Ce 3.18
Tm (0.5000, 0.5000, 0.5000)  4 Ge 3.18, 4 Hg 3.18
Hg (0.7500, 0.7500, 0.7500)  4 Ce 3.18, 4 Tm 3.18
Ce (0.0000, 0.0000, 0.0000)  4 Hg 3.18, 4 Ge 3.18

Output
Its formation energy from the elements is -0.484 eV/atom.


[2]
Density functional theory data (PBE) for CoBi2Ru after structural relaxation.

abc: 4.7927 4.7927 4.7927
angles: 60.00 60.00 60.00
Closest atoms and distances in Å follow each position.
Fractional positions:
Ru (0.5000, 0.5000, 0.5000)  8 Bi 2.93
Co (0.0000, 0.0000, 0.0000)  8 Bi 2.93
Bi (0.2500, 0.2500, 0.2500)  4 Co 2.93, 4 Ru 2.93
Bi (0.7500, 0.7500, 0.7500)  4 Co 2.93, 4 Ru 2.93

Output
Its formation energy from the elements is 0.502 eV/atom.


[3]
Density functional theory data (PBE) for Hf2BiSe after structural relaxation.

abc: 4.9533 4.9533 4.9533
angles: 60.00 60.00 60.00
Closest atoms and distances in Å follow each position.
Fractional positions:
Hf (0.2500, 0.2500, 0.2500)  4 Se 3.03, 4 Bi 3.03
Hf (0.7500, 0.7500, 0.7500)  4 Se 3.03, 4 Bi 3.03
Bi (0.5000, 0.5000, 0.5000)  8 Hf 3.03
Se (0.0000, 0.0000, 0.0000)  8 Hf 3.03

Output
The calculation puts the formation energy from raw total energies at -0.361 eV/atom.


[4]
Density functional theory data (PBE) for Ca2MgAg3 after structural relaxation.

abc: 5.1062 5.1062 12.4289
angles: 90.00 90.00 120.00
Closest atoms and distances in Å follow each position.
Fractional positions:
Ca (0.0000, 0.0000, 0.5000)  8 Ag 3.03-3.09
Ca (0.3333, 0.6667, 0.1782)  8 Ag 3.09-3.39
Ca (0.6667, 0.3333, 0.8218)  8 Ag 3.09-3.39
Ca (0.0000, 0.0000, 0.0000)  8 Ag 3.17-3.18
Mg (0.3333, 0.6667, 0.6635)  8 Ag 2.94-3.15
Mg (0.6667, 0.3333, 0.3365)  8 Ag 2.94-3.15
Ag (0.3333, 0.6667, 0.4267)  4 Mg 2.94-3.15, 4 Ca 3.09
Ag (0.6667, 0.3333, 0.0945)  1 Mg 3.01, 6 Ca 3.13-3.17
Ag (0.0000, 0.0000, 0.7438)  5 Ca 3.03-3.18, 3 Mg 3.11
Ag (0.0000, 0.0000, 0.2562)  5 Ca 3.03-3.18, 3 Mg 3.11
Ag (0.3333, 0.6667, 0.9055)  1 Mg 3.01, 6 Ca 3.13-3.17
Ag (0.6667, 0.3333, 0.5733)  4 Mg 2.94-3.15, 4 Ca 3.09

Output
Its formation energy from the elements is -0.270 eV/atom.


[5]
Density functional theory data (PBE) for Ba2CrPd after structural relaxation.

abc: 5.5497 5.5497 5.5497
angles: 60.00 60.00 60.00
Closest atoms and distances in Å follow each position.
Fractional positions:
Cr (0.0000, 0.0000, 0.0000)  8 Ba 3.40
Ba (0.2500, 0.2500, 0.2500)  4 Cr 3.40, 4 Pd 3.40
Ba (0.7500, 0.7500, 0.7500)  4 Cr 3.40, 4 Pd 3.40
Pd (0.5000, 0.5000, 0.5000)  8 Ba 3.40

Output
Its formation energy from the elements is 0.833 eV/atom.


[6]
Density functional theory data (PBE) for La4TlCd3 after structural relaxation.

abc: 5.5794 5.5794 9.6856
angles: 73.26 73.26 60.00
Closest atoms and distances in Å follow each position.
Fractional positions:
Tl (0.0000, 0.0000, 0.0000)  8 La 3.42-3.44
Cd (0.2489, 0.2489, 0.2533)  8 La 3.38-3.47
Cd (0.7511, 0.7511, 0.7467)  8 La 3.38-3.47
Cd (0.5000, 0.5000, 0.5000)  8 La 3.41
La (0.8745, 0.8745, 0.3766)  7 Cd 3.38-3.41, 1 Tl 3.44
La (0.3756, 0.3756, 0.8733)  5 Cd 3.41-3.47, 3 Tl 3.42
La (0.1255, 0.1255, 0.6234)  7 Cd 3.38-3.41, 1 Tl 3.44
La (0.6244, 0.6244, 0.1267)  5 Cd 3.41-3.47, 3 Tl 3.42

Output
Its formation energy from the elements is -0.355 eV/atom.